# 1
A plane-wave DFT calculation with PBE was carried out for a relaxed Be2AsSe crystal.

Values from the calculation:
offset from the most stable computed form = 0.8141 eV per atom
theoretical density = 4868 kg/m³
ΔE_f (raw) = 538 meV per atom

a b c (Å): 2.9968 3.1167 6.2777
angles (deg): 90.00 90.00 90.00
Space group Pmmm (No. 47)
Asymmetric unit:
Be 0.0000 0.0000 0.2123 x2
As 0.5000 0.5000 0.5000 x1
Se 0.5000 0.5000 0.0000 x1

---

# 2
A plane-wave DFT calculation with PBE was carried out for a relaxed BeAsSe3 crystal.

Values from the calculation:
offset from the most stable computed form = 0.0000 eV per atom
theoretical density = 5552 kg/m³
ΔE_f (raw) = 375 meV per atom

a b c (Å): 4.5781 4.5781 4.5781
angles (deg): 90.00 90.00 90.00
Space group Pm-3m (No. 221)
Asymmetric unit:
Be 0.0000 0.0000 0.0000 x1
As 0.5000 0.5000 0.5000 x1
Se 0.0000 0.0000 0.5000 x3

---

# 3
A plane-wave DFT calculation with PBE was carried out for a relaxed Be2AsSe crystal.

Values from the calculation:
offset from the most stable computed form = 0.2135 eV per atom
theoretical density = 3562 kg/m³
ΔE_f (raw) = -63 meV per atom

a b c (Å): 3.8879 5.5755 7.3932
angles (deg): 90.00 90.00 90.00
Space group Cmm2 (No. 35)
Asymmetric unit:
Be 0.0000 0.0000 0.0000 x2
Be 0.0000 0.5000 0.1633 x2
As 0.0000 0.5000 0.8500 x2
Se 0.0000 0.0000 0.3028 x2

---

no.,size of the total moment (μB/cell),energy (Ha/atom)
1,0.00,-0.1234
2,0.00,-0.1246
3,0.00,-0.1455